Record 1
Entry from Alexandria via LeMat-Bulk: crystalline SrEr2Au3 at its relaxed geometry (PBE).

The structure in extended XYZ format:
```
6
Lattice="-2.272 -0.520 2.783 0.351 -3.593 -0.384 8.601 0.089 7.038" Properties=species:S:1:pos:R:3 pbc="T T T"
Sr 3.340 -2.012 4.718
Er 6.253 -1.982 7.102
Er 0.427 -2.042 2.335
Au 0.000 0.000 0.000
Au 6.015 0.062 4.922
Au 2.586 0.027 2.116
```

**Space group**: P4/mmm
**Formation enthalpy at 0 K**: -0.832 eV per atom
**Crystal system**: tetragonal



Record 2
Entry from Alexandria via LeMat-Bulk: crystalline Tl2HPd at its relaxed geometry (PBE).

The structure in extended XYZ format:
```
8
Lattice="5.543 0.000 0.000 0.000 5.543 0.000 2.772 2.772 6.190" Properties=species:S:1:pos:R:3 pbc="T T T"
H 2.772 2.772 0.000
H 2.772 5.543 3.095
Tl 3.813 1.386 1.547
Tl 1.730 4.157 1.547
Tl 4.157 4.502 4.642
Tl 6.929 6.584 4.642
Pd 0.000 0.000 0.000
Pd 5.543 2.772 3.095
```

**Space group**: I-42d
**Crystal system**: tetragonal
**Energy above the most stable polymorph in this dataset**: 0.0 meV/atom



Record 3
Entry from Alexandria via LeMat-Bulk: crystalline Mn2ReSi at its relaxed geometry (PBE).

The structure in extended XYZ format:
```
4
Lattice="-2.627 0.918 -0.679 -1.034 -2.635 0.440 -0.998 1.339 5.674" Properties=species:S:1:pos:R:3 pbc="T T T"
Mn -0.992 1.330 5.638
Mn -2.062 -0.549 1.191
Re -0.502 0.674 2.855
Si -2.602 0.176 4.263
```

**Space group**: P4mm
**Formation energy from raw total energies**: -0.14 eV per atom
**Crystal system**: tetragonal